Compound: LiTbSe2
Source: Alexandria
Functional: PBE
Structure: relaxed Values from VASP.

Its crystal system is trigonal. The uncorrected formation energy comes out at -1.697 eV/atom.

The structure in Quantum ESPRESSO input format:
```
&SYSTEM
  ibrav = 0, nat = 4, ntyp = 3
/
ATOMIC_SPECIES
Tb 158.93 Tb.upf
Se 78.96 Se.upf
Li 6.94 Li.upf
ATOMIC_POSITIONS crystal
Tb 0.000 0.000 0.000
Se 0.249 0.249 0.254
Se 0.751 0.751 0.746
Li 0.500 0.500 0.500
CELL_PARAMETERS angstrom
-0.775 3.612 -1.751
-2.798 0.274 -2.968
-5.791 2.462 2.870
```

---

Compound: LiTb2Se
Source: Alexandria
Functional: PBE
Structure: relaxed Values from VASP.

Its crystal system is trigonal. The uncorrected formation energy comes out at -0.547 eV/atom.

The structure in Quantum ESPRESSO input format:
```
&SYSTEM
  ibrav = 0, nat = 4, ntyp = 3
/
ATOMIC_SPECIES
Tb 158.93 Tb.upf
Se 78.96 Se.upf
Li 6.94 Li.upf
ATOMIC_POSITIONS crystal
Tb 0.108 0.108 0.676
Tb 0.892 0.892 0.324
Se 0.500 0.500 0.500
Li 0.000 0.000 0.000
CELL_PARAMETERS angstrom
3.767 0.000 0.000
1.883 3.262 0.000
1.883 1.087 10.139
```

---

Compound: LiTb4Se5
Source: Alexandria
Functional: PBE
Structure: relaxed Values from VASP.

Its crystal system is tetragonal. The uncorrected formation energy comes out at -1.760 eV/atom.

The structure in Quantum ESPRESSO input format:
```
&SYSTEM
  ibrav = 0, nat = 10, ntyp = 3
/
ATOMIC_SPECIES
Li 6.94 Li.upf
Tb 158.93 Tb.upf
Se 78.96 Se.upf
ATOMIC_POSITIONS crystal
Li 0.004 0.000 0.000
Tb 0.401 0.400 0.799
Tb 0.801 0.799 0.600
Tb 0.200 0.201 0.400
Tb 0.600 0.600 0.201
Se 0.905 0.387 0.805
Se 0.292 0.805 0.613
Se 0.710 0.195 0.387
Se 0.096 0.613 0.195
Se 0.501 0.000 0.000
CELL_PARAMETERS angstrom
5.749 0.000 0.000
2.875 6.435 0.000
2.875 0.000 6.435
```